# 1
Entry from the Alexandria database: an optimized crystal structure of FeHgS2Cl (PBE).

- uncorrected formation energy (eV per atom) = 0.93
- energy relative to the lowest polymorph listed for this composition (meV per atom) = 754

Cell: 4.9885 4.9885 5.1492 Å, 90.00 90.00 90.00°
Last column: magnetic moment on the atom in μB.
Sites, in units of the cell vectors:
S 0.0000 0.5000 0.0000  0.16
S 0.5000 0.0000 0.0000  0.16
Cl 0.0000 0.0000 0.5000  0.04
Hg 0.0000 0.0000 0.0000  0.01
Fe 0.5000 0.5000 0.5000  3.43

# 2
Entry from the Alexandria database: an optimized crystal structure of ZrTeCl2 (PBE).

- uncorrected formation energy (eV per atom) = -1.07
- energy relative to the lowest polymorph listed for this composition (meV per atom) = 277

Cell: 8.4507 8.4507 8.4507 Å, 158.40 146.16 40.51°
Sites, in units of the cell vectors:
Te 0.5998 0.5998 0.0000
Zr 0.7557 0.2557 0.5000
Cl 0.8834 0.8834 0.0000
Cl 0.2610 0.7610 0.5000

# 3
Entry from the Alexandria database: an optimized crystal structure of TiCu2Au (PBE).

- calculated formation energy (eV/atom) = 0.283
- energy relative to the lowest polymorph listed for this composition (meV per atom) = 455

Cell: 7.0298 7.0298 5.6209 Å, 51.29 51.29 90.00°
Last column: magnetic moment on the atom in μB.
Sites, in units of the cell vectors:
Au 0.0000 0.0000 0.0000  0.02
Au 0.7500 0.2500 0.5000  0.02
Cu 0.6231 0.1250 0.2500  0.03
Cu 0.1269 0.6250 0.2500  0.03
Cu 0.3750 0.3769 0.7500  0.04
Cu 0.8750 0.8731 0.7500  0.03
Ti 0.5000 0.5000 0.0000  0.54
Ti 0.2500 0.7500 0.5000  0.52

# 4
Entry from the Alexandria database: an optimized crystal structure of KSc2Te (PBE).

- uncorrected formation energy (eV per atom) = 0.04

Cell: 5.8554 6.5173 3.4858 Å, 74.32 90.35 116.80°
Sites, in units of the cell vectors:
K 0.5000 0.5000 0.0000
Sc 0.0000 0.0000 0.0000
Sc 0.5000 0.0000 0.5000
Te 0.0000 0.5000 0.5000

Which formula does entry 1 have? FeHgS2Cl